## Nd2Ga3Pt4Au (PBE)

Data for a geometry-optimized Nd2Ga3Pt4Au structure.

uncorrected energy: -54.9 eV/f.u.
total magnetization: 0.0 μB per formula unit
DFT formation energy: -0.8827 eV/atom

Unit cell a=4.106 b=4.106 c=11.698 alpha=90.00 beta=90.00 gamma=90.00
Atoms (fractional coordinates):
Nd (0.500, 0.000, 0.253)
Ga (0.500, 0.000, 0.872)
Nd (0.000, 0.500, 0.747)
Pt (0.500, 0.500, 0.000)
Pt (0.000, 0.000, 0.000)
Ga (0.000, 0.500, 0.128)
Pt (0.000, 0.500, 0.339)
Au (0.500, 0.500, 0.500)
Pt (0.500, 0.000, 0.661)
Ga (0.000, 0.000, 0.500)

## NdGa3PtAu (PBE)

Data for a geometry-optimized NdGa3PtAu structure.

uncorrected energy: -25.8 eV/f.u.
total magnetization: 0.0 μB per formula unit
DFT formation energy: -0.4311 eV/atom

Unit cell a=5.943 b=6.225 c=8.282 alpha=112.08 beta=90.00 gamma=90.00
Atoms (fractional coordinates):
Pt (0.750, 0.914, 0.828)
Ga (0.500, 0.256, 0.000)
Ga (0.750, 0.757, 0.515)
Nd (0.250, 0.832, 0.664)
Ga (0.500, 0.744, 0.000)
Au (0.250, 0.402, 0.804)
Ga (0.000, 0.256, 0.000)
Ga (0.250, 0.243, 0.485)
Ga (0.000, 0.744, 0.000)
Pt (0.250, 0.086, 0.172)
Nd (0.750, 0.168, 0.336)
Au (0.750, 0.598, 0.196)

## NdGa5Pt2Au (PBE)

Data for a geometry-optimized NdGa5Pt2Au structure.

uncorrected energy: -39.2 eV/f.u.
total magnetization: 0.0 μB per formula unit
DFT formation energy: -0.4414 eV/atom

Unit cell a=4.340 b=4.340 c=10.354 alpha=90.00 beta=90.00 gamma=90.00
Atoms (fractional coordinates):
Nd (0.000, 0.000, 0.500)
Pt (0.500, 0.500, 0.727)
Ga (0.500, 0.000, 0.845)
Ga (0.500, 0.500, 0.500)
Pt (0.500, 0.500, 0.273)
Au (0.000, 0.000, 0.000)
Ga (0.000, 0.500, 0.155)
Ga (0.000, 0.500, 0.845)
Ga (0.500, 0.000, 0.155)

## NdGa2Pt5Au (PBE)

Data for a geometry-optimized NdGa2Pt5Au structure.

uncorrected energy: -49.0 eV/f.u.
total magnetization: 0.0 μB per formula unit
DFT formation energy: -0.5271 eV/atom

Unit cell a=4.110 b=4.110 c=9.693 alpha=90.00 beta=90.00 gamma=90.00
Atoms (fractional coordinates):
Nd (0.000, 0.000, 0.500)
Au (0.000, 0.000, 0.000)
Pt (0.000, 0.500, 0.271)
Pt (0.500, 0.000, 0.729)
Pt (0.500, 0.500, 0.500)
Pt (0.500, 0.000, 0.271)
Ga (0.500, 0.500, 0.876)
Pt (0.000, 0.500, 0.729)
Ga (0.500, 0.500, 0.124)

## NdPu2Ga2Au2 (PBE)

Data for a geometry-optimized NdPu2Ga2Au2 structure.

uncorrected energy: -49.3 eV/f.u.
total magnetization: 11.1 μB per formula unit
DFT formation energy: -0.4665 eV/atom

Unit cell a=4.625 b=4.625 c=9.045 alpha=75.19 beta=75.19 gamma=60.00
Atoms (fractional coordinates):
Pu (0.135, 0.135, 0.595)
Au (0.594, 0.594, 0.219)
Au (0.406, 0.406, 0.781)
Nd (0.000, 0.000, 0.000)
Pu (0.865, 0.865, 0.405)
Ga (0.742, 0.742, 0.774)
Ga (0.258, 0.258, 0.226)

## Nd2Ga4RhAu3 (PBE)

Data for a geometry-optimized Nd2Ga4RhAu3 structure.

uncorrected energy: -45.5 eV/f.u.
total magnetization: 0.0 μB per formula unit
DFT formation energy: -0.6697 eV/atom

Unit cell a=4.334 b=4.334 c=10.780 alpha=90.00 beta=90.00 gamma=90.00
Atoms (fractional coordinates):
Rh (0.500, 0.500, 0.500)
Ga (0.000, 0.500, 0.374)
Au (0.500, 0.000, 0.861)
Ga (0.500, 0.000, 0.626)
Au (0.000, 0.500, 0.139)
Ga (0.500, 0.500, 0.000)
Ga (0.000, 0.000, 0.000)
Au (0.000, 0.000, 0.500)
Nd (0.000, 0.500, 0.746)
Nd (0.500, 0.000, 0.254)

## Nd2Ga4Rh3Au (PBE)

Data for a geometry-optimized Nd2Ga4Rh3Au structure.

uncorrected energy: -54.3 eV/f.u.
total magnetization: 0.0 μB per formula unit
DFT formation energy: -0.7305 eV/atom

Unit cell a=4.327 b=4.327 c=10.270 alpha=90.00 beta=90.00 gamma=90.00
Atoms (fractional coordinates):
Nd (0.000, 0.500, 0.750)
Nd (0.500, 0.000, 0.250)
Ga (0.000, 0.000, 0.000)
Rh (0.000, 0.500, 0.124)
Rh (0.000, 0.000, 0.500)
Au (0.500, 0.500, 0.500)
Ga (0.500, 0.500, 0.000)
Ga (0.000, 0.500, 0.364)
Rh (0.500, 0.000, 0.876)
Ga (0.500, 0.000, 0.636)

## Nd2ScGa3Au4 (PBE)

Data for a geometry-optimized Nd2ScGa3Au4 structure.

uncorrected energy: -44.8 eV/f.u.
total magnetization: 0.0 μB per formula unit
DFT formation energy: -0.6712 eV/atom

Unit cell a=4.363 b=4.363 c=11.355 alpha=90.00 beta=90.00 gamma=90.00
Atoms (fractional coordinates):
Au (0.000, 0.500, 0.353)
Ga (0.500, 0.000, 0.870)
Sc (0.500, 0.500, 0.500)
Au (0.000, 0.000, 0.000)
Nd (0.500, 0.000, 0.227)
Ga (0.000, 0.000, 0.500)
Ga (0.000, 0.500, 0.130)
Nd (0.000, 0.500, 0.773)
Au (0.500, 0.500, 0.000)
Au (0.500, 0.000, 0.647)

## NdScGa2Au2 (PBE)

Data for a geometry-optimized NdScGa2Au2 structure.

uncorrected energy: -28.3 eV/f.u.
total magnetization: 0.0 μB per formula unit
DFT formation energy: -0.7644 eV/atom

Unit cell a=4.498 b=4.498 c=7.121 alpha=90.00 beta=90.00 gamma=120.00
Atoms (fractional coordinates):
Ga (0.667, 0.333, 0.287)
Nd (0.000, 0.000, 0.000)
Au (0.333, 0.667, 0.291)
Ga (0.333, 0.667, 0.713)
Au (0.667, 0.333, 0.709)
Sc (0.000, 0.000, 0.500)

## Nd2Ga3SiAu4 (PBE)

Data for a geometry-optimized Nd2Ga3SiAu4 structure.

energy relative to the elements, uncorrected: -614 meV per atom
uncorrected energy: -43.3 eV/f.u.
total magnetization: 0.0 μB per formula unit

Unit cell a=4.458 b=4.458 c=10.329 alpha=90.00 beta=90.00 gamma=90.00
Atoms (fractional coordinates):
Ga (0.500, 0.000, 0.867)
Nd (0.000, 0.500, 0.747)
Au (0.500, 0.000, 0.623)
Si (0.500, 0.500, 0.500)
Au (0.000, 0.000, 0.000)
Ga (0.000, 0.000, 0.500)
Au (0.500, 0.500, 0.000)
Au (0.000, 0.500, 0.377)
Ga (0.000, 0.500, 0.133)
Nd (0.500, 0.000, 0.253)

## NdGaSnAu (PBE)

Data for a geometry-optimized NdGaSnAu structure.

uncorrected energy: -17.0 eV/f.u.
total magnetization: 0.0 μB per formula unit
DFT formation energy: -0.4747 eV/atom

Unit cell a=5.100 b=5.100 c=5.100 alpha=60.00 beta=60.00 gamma=60.00
Atoms (fractional coordinates):
Ga (0.500, 0.500, 0.500)
Au (0.000, 0.000, 0.000)
Sn (0.250, 0.250, 0.250)
Nd (0.750, 0.750, 0.750)

## Nd2Ga4SnAu3 (PBE)

Data for a geometry-optimized Nd2Ga4SnAu3 structure.

uncorrected energy: -41.5 eV/f.u.
total magnetization: 0.0 μB per formula unit
DFT formation energy: -0.6003 eV/atom

Unit cell a=4.408 b=4.408 c=11.036 alpha=90.00 beta=90.00 gamma=90.00
Atoms (fractional coordinates):
Ga (0.000, 0.500, 0.352)
Sn (0.500, 0.500, 0.500)
Ga (0.500, 0.000, 0.648)
Au (0.000, 0.000, 0.500)
Au (0.500, 0.000, 0.873)
Nd (0.500, 0.000, 0.243)
Nd (0.000, 0.500, 0.757)
Au (0.000, 0.500, 0.127)
Ga (0.000, 0.000, 0.000)
Ga (0.500, 0.500, 0.000)

## TbNdGaAu (PBE)

Data for a geometry-optimized TbNdGaAu structure.

uncorrected energy: -18.3 eV/f.u.
total magnetization: 0.0 μB per formula unit
DFT formation energy: -0.6448 eV/atom

Unit cell a=5.201 b=5.201 c=5.201 alpha=60.00 beta=60.00 gamma=60.00
Atoms (fractional coordinates):
Ga (0.250, 0.250, 0.250)
Tb (0.500, 0.500, 0.500)
Nd (0.000, 0.000, 0.000)
Au (0.750, 0.750, 0.750)

## TbNdGaAu (PBE)

Data for a geometry-optimized TbNdGaAu structure.

uncorrected energy: -18.4 eV/f.u.
total magnetization: 0.0 μB per formula unit
DFT formation energy: -0.6840 eV/atom

Unit cell a=3.892 b=4.563 c=6.030 alpha=90.00 beta=108.83 gamma=90.00
Atoms (fractional coordinates):
Nd (0.856, 0.500, 0.712)
Ga (0.423, 0.000, 0.846)
Tb (0.140, 0.000, 0.280)
Au (0.581, 0.500, 0.163)

## NdTmGaAu (PBE)

Data for a geometry-optimized NdTmGaAu structure.

uncorrected energy: -18.2 eV/f.u.
total magnetization: 0.0 μB per formula unit
DFT formation energy: -0.6530 eV/atom

Unit cell a=5.160 b=5.160 c=5.160 alpha=60.00 beta=60.00 gamma=60.00
Atoms (fractional coordinates):
Au (0.750, 0.750, 0.750)
Ga (0.250, 0.250, 0.250)
Tm (0.500, 0.500, 0.500)
Nd (0.000, 0.000, 0.000)

## NdTmGa2Au2 (PBE)

Data for a geometry-optimized NdTmGa2Au2 structure.

uncorrected energy: -26.5 eV/f.u.
total magnetization: 0.0 μB per formula unit
DFT formation energy: -0.7796 eV/atom

Unit cell a=4.548 b=4.548 c=7.263 alpha=90.00 beta=90.00 gamma=120.00
Atoms (fractional coordinates):
Tm (0.000, 0.000, 0.500)
Nd (0.000, 0.000, 0.000)
Au (0.667, 0.333, 0.722)
Ga (0.333, 0.667, 0.731)
Au (0.333, 0.667, 0.278)
Ga (0.667, 0.333, 0.269)

## NdTmGaAu (PBE)

Data for a geometry-optimized NdTmGaAu structure.

uncorrected energy: -18.3 eV/f.u.
total magnetization: 0.0 μB per formula unit
DFT formation energy: -0.6902 eV/atom

Unit cell a=3.817 b=4.530 c=6.024 alpha=90.00 beta=108.47 gamma=90.00
Atoms (fractional coordinates):
Tm (0.139, 0.000, 0.278)
Ga (0.426, 0.000, 0.851)
Nd (0.853, 0.500, 0.706)
Au (0.582, 0.500, 0.165)

## Nd2Zn4Ga3Au (PBE)

Data for a geometry-optimized Nd2Zn4Ga3Au structure.

uncorrected energy: -31.8 eV/f.u.
total magnetization: 0.0 μB per formula unit
DFT formation energy: -0.4817 eV/atom

Unit cell a=4.280 b=4.280 c=10.685 alpha=90.00 beta=90.00 gamma=90.00
Atoms (fractional coordinates):
Au (0.500, 0.500, 0.500)
Ga (0.000, 0.000, 0.500)
Ga (0.000, 0.500, 0.133)
Ga (0.500, 0.000, 0.867)
Zn (0.000, 0.000, 0.000)
Zn (0.500, 0.500, 0.000)
Zn (0.000, 0.500, 0.362)
Nd (0.000, 0.500, 0.753)
Nd (0.500, 0.000, 0.247)
Zn (0.500, 0.000, 0.638)

## NdZnGa3Au (PBE)

Data for a geometry-optimized NdZnGa3Au structure.

uncorrected energy: -19.7 eV/f.u.
total magnetization: 0.0 μB per formula unit
DFT formation energy: -0.2174 eV/atom

Unit cell a=5.913 b=5.733 c=8.738 alpha=109.15 beta=90.00 gamma=90.00
Atoms (fractional coordinates):
Ga (0.250, 0.244, 0.488)
Ga (0.500, 0.744, 0.000)
Au (0.250, 0.395, 0.789)
Au (0.750, 0.605, 0.211)
Nd (0.250, 0.674, 0.347)
Zn (0.750, 0.906, 0.811)
Ga (0.000, 0.744, 0.000)
Nd (0.750, 0.326, 0.653)
Ga (0.500, 0.256, 0.000)
Zn (0.250, 0.094, 0.189)
Ga (0.000, 0.256, 0.000)
Ga (0.750, 0.756, 0.512)

## Nd2ZnGa3Au4 (PBE)

Data for a geometry-optimized Nd2ZnGa3Au4 structure.

uncorrected energy: -39.2 eV/f.u.
total magnetization: 0.0 μB per formula unit
DFT formation energy: -0.6240 eV/atom

Unit cell a=4.440 b=4.440 c=10.524 alpha=90.00 beta=90.00 gamma=90.00
Atoms (fractional coordinates):
Nd (0.000, 0.500, 0.749)
Au (0.500, 0.000, 0.631)
Ga (0.000, 0.000, 0.500)
Ga (0.500, 0.000, 0.868)
Au (0.000, 0.500, 0.369)
Au (0.000, 0.000, 0.000)
Nd (0.500, 0.000, 0.251)
Au (0.500, 0.500, 0.000)
Zn (0.500, 0.500, 0.500)
Ga (0.000, 0.500, 0.132)